## LaPm8Nd3 (PBE)

Data for an optimized crystal structure of LaPm8Nd3.

Unit cell a=8.519 b=8.519 c=8.519 alpha=94.72 beta=117.31 gamma=117.31
Element x y z (fractional)
Pm  0.502  0.750  0.750
Pm  0.245  0.373  0.373
Pm  0.755  0.128  0.128
Pm  0.000  0.627  0.872
Pm  0.000  0.752  0.250
Pm  0.498  0.248  0.248
Pm  0.000  0.250  0.752
Pm  0.000  0.872  0.627
Nd  0.000  0.500  0.500
Nd  0.500  0.250  0.750
Nd  0.500  0.750  0.250
La  0.000  0.000  0.000

energy = -4.223 eV per atom
DOS(E_F) = 1.444 states/eV/atom
ΔH_f (0 K) = 0.55 eV per atom
total moment = 0.0 μB/f.u.